Record 1
Here is an optimized crystal structure of TlZn2Se from the Alexandria database. Energies are from PBE-GGA.

Cell: 6.2895 7.2956 3.7826 Å, 90.00 90.00 90.00°
Space group Cmmm (No. 65)
Inequivalent atoms, fractional coordinates:
Tl 0.0000 0.0000 0.0000 [2 per cell]
Zn 0.2500 0.2500 0.5000 [4 per cell]
Se 0.0000 0.5000 0.0000 [2 per cell]

## Properties
V: 173.6 Å³ per cell
Crystal system: orthorhombic
Formation energy (no corrections): 52 kJ/mol of formula units

***

Record 2
Here is an optimized crystal structure of TlZnSe2 from the Alexandria database. Energies are from PBE-GGA.

Cell: 4.2714 4.0709 6.7326 Å, 90.00 99.70 90.00°
Space group Pm (No. 6)
Inequivalent atoms, fractional coordinates:
Tl 0.0000 0.0000 0.0000 [1 per cell]
Zn 0.2405 0.5000 0.5715 [1 per cell]
Se 0.0010 0.0000 0.4276 [1 per cell]
Se 0.4806 0.5000 0.9268 [1 per cell]

## Properties
V: 115.4 Å³ per cell
Crystal system: monoclinic
Formation energy (no corrections): -137 kJ/mol of formula units

***

Record 3
Here is an optimized crystal structure of TlZnSe2 from the Alexandria database. Energies are from PBE-GGA.

Cell: 3.8680 3.8680 15.4746 Å, 90.00 90.00 90.00°
Space group I-4m2 (No. 119)
Inequivalent atoms, fractional coordinates:
Tl 0.0000 0.0000 0.0000 [2 per cell]
Zn 0.0000 0.5000 0.7500 [2 per cell]
Se 0.0000 0.0000 0.5000 [2 per cell]
Se 0.0000 0.5000 0.2500 [2 per cell]

## Properties
V: 231.5 Å³ per cell
Crystal system: tetragonal
Formation energy (no corrections): -16 kJ/mol of formula units

***

Record 4
Here is an optimized crystal structure of TlZn2Se from the Alexandria database. Energies are from PBE-GGA.

Cell: 6.6202 3.8064 7.5084 Å, 90.00 107.86 90.00°
Space group C2/m (No. 12)
Inequivalent atoms, fractional coordinates:
Tl 0.0000 0.0000 0.0000 [2 per cell]
Zn 0.2382 0.0000 0.7076 [4 per cell]
Se 0.0000 0.5000 0.5000 [2 per cell]

## Properties
V: 180.1 Å³ per cell
Crystal system: monoclinic
Formation energy (no corrections): -37 kJ/mol of formula units

***

Record 5
Here is an optimized crystal structure of TlZnSe2 from the Alexandria database. Energies are from PBE-GGA.

Cell: 3.9210 3.9210 6.5607 Å, 90.00 90.00 90.00°
Space group P4mm (No. 99)
Inequivalent atoms, fractional coordinates:
Tl 0.0000 0.0000 0.0000 [1 per cell]
Zn 0.5000 0.5000 0.5043 [1 per cell]
Se 0.0000 0.0000 0.4325 [1 per cell]
Se 0.5000 0.5000 0.8902 [1 per cell]

## Properties
V: 100.9 Å³ per cell
Crystal system: tetragonal
Formation energy (no corrections): -100 kJ/mol of formula units

***

Record 6
Here is an optimized crystal structure of TlZnSe from the Alexandria database. Energies are from PBE-GGA.

Cell: 7.0196 7.0196 7.0196 Å, 90.00 90.00 90.00°
Space group F-43m (No. 216)
Inequivalent atoms, fractional coordinates:
Tl 0.0000 0.0000 0.0000 [4 per cell]
Zn 0.2500 0.2500 0.2500 [4 per cell]
Se 0.2500 0.2500 0.7500 [4 per cell]

## Properties
V: 345.9 Å³ per cell
Crystal system: cubic
Formation energy (no corrections): 55 kJ/mol of formula units

***

Record 7
Here is an optimized crystal structure of TlZn2Se from the Alexandria database. Energies are from PBE-GGA.

Cell: 6.6437 6.6437 9.7219 Å, 90.00 90.00 90.00°
Space group I-42d (No. 122)
Inequivalent atoms, fractional coordinates:
Tl 0.0000 0.0000 0.0000 [4 per cell]
Zn 0.2146 0.2500 0.6250 [8 per cell]
Se 0.0000 0.0000 0.5000 [4 per cell]

## Properties
V: 429.1 Å³ per cell
Crystal system: tetragonal
Formation energy (no corrections): -21 kJ/mol of formula units

***

Record 8
Here is an optimized crystal structure of TlZnSe from the Alexandria database. Energies are from PBE-GGA.

Cell: 3.9816 3.9816 5.5849 Å, 90.00 90.00 120.00°
Space group P3m1 (No. 156)
Inequivalent atoms, fractional coordinates:
Tl 0.0000 0.0000 0.0000 [1 per cell]
Zn 0.3333 0.6667 0.6265 [1 per cell]
Se 0.6667 0.3333 0.4514 [1 per cell]

## Properties
V: 76.7 Å³ per cell
Crystal system: trigonal
Formation energy (no corrections): -86 kJ/mol of formula units

***

Record 9
Here is an optimized crystal structure of TlZnSe2 from the Alexandria database. Energies are from PBE-GGA.

Cell: 3.5623 3.5623 7.2355 Å, 90.00 90.00 90.00°
Space group P4/mmm (No. 123)
Inequivalent atoms, fractional coordinates:
Tl 0.0000 0.0000 0.0000 [1 per cell]
Zn 0.0000 0.0000 0.5000 [1 per cell]
Se 0.5000 0.5000 0.3030 [2 per cell]

## Properties
V: 91.8 Å³ per cell
Crystal system: tetragonal
Formation energy (no corrections): -6 kJ/mol of formula units

***

Record 10
Here is an optimized crystal structure of Tl2ZnSe2 from the Alexandria database. Energies are from PBE-GGA.

Cell: 6.9069 13.2647 6.4709 Å, 90.00 90.00 90.00°
Space group Ibam (No. 72)
Inequivalent atoms, fractional coordinates:
Tl 0.1663 0.1442 0.0000 [8 per cell]
Zn 0.0000 0.5000 0.2500 [4 per cell]
Se 0.1944 0.3953 0.0000 [8 per cell]

## Properties
V: 592.8 Å³ per cell
Crystal system: orthorhombic
Formation energy (no corrections): -228 kJ/mol of formula units

***

Record 11
Here is an optimized crystal structure of TlZn2Se from the Alexandria database. Energies are from PBE-GGA.

Cell: 7.1985 7.1985 7.1985 Å, 90.00 90.00 90.00°
Space group F-43m (No. 216)
Inequivalent atoms, fractional coordinates:
Tl 0.0000 0.0000 0.0000 [4 per cell]
Zn 0.0000 0.0000 0.5000 [4 per cell]
Zn 0.2500 0.2500 0.2500 [4 per cell]
Se 0.2500 0.2500 0.7500 [4 per cell]

## Properties
V: 373.0 Å³ per cell
Crystal system: cubic
Formation energy (no corrections): 56 kJ/mol of formula units

***

Record 12
Here is an optimized crystal structure of Tl3ZnSe from the Alexandria database. Energies are from PBE-GGA.

Cell: 6.1038 6.1038 6.1038 Å, 90.00 90.00 90.00°
Space group Pm-3m (No. 221)
Inequivalent atoms, fractional coordinates:
Tl 0.0000 0.0000 0.5000 [3 per cell]
Zn 0.5000 0.5000 0.5000 [1 per cell]
Se 0.0000 0.0000 0.0000 [1 per cell]

## Properties
V: 227.4 Å³ per cell
Crystal system: cubic
Formation energy (no corrections): 128 kJ/mol of formula units

***

Record 13
Here is an optimized crystal structure of TlZnSe2 from the Alexandria database. Energies are from PBE-GGA.

Cell: 14.3084 3.6689 4.3448 Å, 90.00 96.76 90.00°
Space group Cm (No. 8)
Inequivalent atoms, fractional coordinates:
Tl 0.0000 0.0000 0.0000 [2 per cell]
Zn 0.2343 0.0000 0.5183 [2 per cell]
Se 0.1200 0.5000 0.5982 [2 per cell]
Se 0.3425 0.5000 0.4202 [2 per cell]

## Properties
V: 226.5 Å³ per cell
Crystal system: monoclinic
Formation energy (no corrections): -90 kJ/mol of formula units

***

Record 14
Here is an optimized crystal structure of TlZn2Se from the Alexandria database. Energies are from PBE-GGA.

Cell: 3.9885 3.9885 20.5913 Å, 90.00 90.00 120.00°
Space group R3m (No. 160, hexagonal axes)
Inequivalent atoms, fractional coordinates:
Tl 0.0000 0.0000 0.0000 [3 per cell]
Zn 0.0000 0.0000 0.4986 [3 per cell]
Zn 0.0000 0.0000 0.7633 [3 per cell]
Se 0.0000 0.0000 0.2218 [3 per cell]

## Properties
V: 283.7 Å³ per cell
Crystal system: trigonal
Formation energy (no corrections): -38 kJ/mol of formula units